A geometry-optimized Ac2CrAg2O6 structure. Source: the Alexandria database, functional PBE with a Hubbard U.

Values from the calculation:
For the final energy, the calculation gives -6.515 eV/atom. The volume is 213 Å³ per cell. For the total magnetization, the calculation gives 2.0 μB per formula unit. The crystal system is monoclinic.

Cell lengths 6.317, 6.317, 6.344 Å; angles 85.66, 85.66, 121.69 degrees
Site moments in Bohr magnetons follow the coordinates.
Atoms (fractional coordinates):
Ac  0.337  0.663  0.500  0.00
Ac  0.663  0.337  0.500  0.00
Cr  0.000  0.000  0.500  2.23
Ag  0.865  0.135  0.000  -0.01
Ag  0.135  0.865  0.000  -0.01
O  0.704  0.704  0.647  -0.06
O  0.963  0.243  0.672  -0.03
O  0.296  0.296  0.353  -0.06
O  0.243  0.963  0.672  -0.03
O  0.037  0.757  0.328  -0.03
O  0.757  0.037  0.328  -0.03